1.
AlTlCrGe2 GGA-PBE relaxed; magnetization = 0.05 μB per atom; energy = -3.33 eV/atom
1.0
5.2488 0.0000 0.0000
0.0000 5.2488 0.0000
0.0000 0.0000 5.0720
Al Tl Cr Ge
1 1 1 2
direct
0.0000 0.0000 0.0000
0.5000 0.5000 0.5000
0.5000 0.5000 0.0000
0.0000 0.5000 0.5000
0.5000 0.0000 0.5000

=====

2.
BePtRh2 GGA-PBE relaxed; magnetization = 0.00 μB per atom; energy = -5.91 eV/atom
1.0
-1.8053 1.8053 8.9291
1.8053 -1.8053 8.9291
1.8053 1.8053 -8.9291
Be Pt Rh
2 2 4
direct
0.0000 0.0000 0.0000
0.7500 0.2500 0.5000
0.2500 0.7500 0.5000
0.5000 0.5000 0.0000
0.1144 0.6250 0.9894
0.3750 0.3644 0.4894
0.6356 0.1250 0.0106
0.8750 0.8856 0.5106